Record 1
Ba4CdAg2Au | PBE | relaxed

The structure in POSCAR format:
```
Ba4CdAg2Au
1.0
-1.9164 0.4040 -5.5145
-1.9728 -4.7634 -2.7684
-10.0887 0.3362 0.4256
Cd Ba Ag Au
1 4 2 1
direct
0.0000 0.0000 0.0000
0.3794 0.3794 0.8618
0.6206 0.6206 0.1382
0.1287 0.1287 0.6140
0.8713 0.8713 0.3860
0.2547 0.2547 0.2358
0.7453 0.7453 0.7642
0.5000 0.5000 0.5000
```

Record 2
BaCd2AgAu4 | PBE | relaxed

The structure in POSCAR format:
```
BaCd2AgAu4
1.0
-4.4110 0.6029 -1.5334
-1.9463 -3.1765 -2.8799
-5.5129 -5.8499 6.3286
Cd Au Ba Ag
2 4 1 1
direct
0.7644 0.7644 0.7069
0.2356 0.2356 0.2931
0.4027 0.4027 0.7919
0.1336 0.1336 0.5993
0.5973 0.5973 0.2081
0.8664 0.8664 0.4007
0.0000 0.0000 0.0000
0.5000 0.5000 0.5000
```

Record 3
BaCd2Ag2Au | PBE | relaxed

The structure in POSCAR format:
```
BaCd2Ag2Au
1.0
-2.8042 -3.6370 -2.7169
-2.4341 -1.4911 4.5083
-1.9008 6.8204 -1.9283
Ag Cd Au Ba
2 2 1 1
direct
0.7869 0.7869 0.5738
0.2131 0.2131 0.4262
0.7500 0.2500 0.5000
0.2500 0.7500 0.5000
0.0000 0.0000 0.0000
0.5000 0.5000 0.0000
```

Record 4
BaCdAgAu2 (PBE, relaxed); energy relative to the lowest polymorph listed for this composition = 0.0000 eV per atom
1.0
4.4505 0.0000 0.0000
0.0000 4.4505 0.0000
-2.2252 -2.2252 6.5035
Au Cd Ag Ba
2 1 1 1
direct
0.6080 0.6080 0.2161
0.3920 0.3920 0.7839
0.2500 0.7500 0.5000
0.7500 0.2500 0.5000
0.0000 0.0000 0.0000

ΔH_f (0 K) values, unit eV/atom, following the record order: -0.3564, -0.2913, -0.0933, -0.4437.
Fermi-level density of states values, unit states/eV per atom, following the record order: 1.100, 0.287, 0.431, 0.536.